K2CaZn: optimized geometry, PBE. Values from VASP.

The structure in Quantum ESPRESSO input format:
```
&SYSTEM
  ibrav = 0, nat = 4, ntyp = 3
/
ATOMIC_SPECIES
K 39.10 K.upf
Ca 40.08 Ca.upf
Zn 65.41 Zn.upf
ATOMIC_POSITIONS crystal
K 0.158 0.158 0.157
K 0.842 0.842 0.843
Ca 0.000 0.000 0.500
Zn 0.500 0.500 0.000
CELL_PARAMETERS angstrom
10.218 -1.934 0.000
10.218 1.934 0.000
-1.209 0.000 4.834
```

N(E_F), states/eV per cell: 3.3
Calculated volume, Å³/atom: 47.768
Magnetic moment, μB/cell: 0.0
DFT total energy, eV/atom: -1.29
Symmetry: C2/m, No. 12



KZrNbSe2: optimized geometry, PBE. Values from VASP.

The structure in Quantum ESPRESSO input format:
```
&SYSTEM
  ibrav = 0, nat = 5, ntyp = 4
/
ATOMIC_SPECIES
K 39.10 K.upf
Zr 91.22 Zr.upf
Nb 92.91 Nb.upf
Se 78.96 Se.upf
ATOMIC_POSITIONS crystal
K 0.000 0.000 0.000
Zr 0.500 0.500 0.500
Nb 0.000 0.000 0.500
Se 0.000 0.500 0.000
Se 0.500 0.000 0.000
CELL_PARAMETERS angstrom
5.365 0.000 0.000
0.000 5.365 0.000
0.000 0.000 4.786
```

N(E_F), states/eV per cell: 4.8
Calculated volume, Å³/atom: 27.551
Magnetic moment, μB/cell: 2.1
Energy relative to the elements, uncorrected, eV/atom: 1.513
DFT total energy, eV/atom: -3.82
Symmetry: P4/mmm, No. 123



SmLuOs4: optimized geometry, PBE. Values from VASP.

The structure in Quantum ESPRESSO input format:
```
&SYSTEM
  ibrav = 0, nat = 6, ntyp = 3
/
ATOMIC_SPECIES
Sm 150.36 Sm.upf
Lu 174.97 Lu.upf
Os 190.23 Os.upf
ATOMIC_POSITIONS crystal
Sm 0.000 0.000 0.000
Lu 0.750 0.750 0.750
Os 0.375 0.375 0.375
Os 0.375 0.375 0.874
Os 0.375 0.874 0.375
Os 0.874 0.375 0.375
CELL_PARAMETERS angstrom
0.000 3.790 3.790
3.790 0.000 3.790
3.790 3.790 0.000
```

N(E_F), states/eV per cell: 5.7
Calculated volume, Å³/atom: 18.150
Magnetic moment, μB/cell: 0.0
DFT total energy, eV/atom: -9.26
Symmetry: F-43m, No. 216



AsP2Ru: optimized geometry, PBE. Values from VASP.

The structure in Quantum ESPRESSO input format:
```
&SYSTEM
  ibrav = 0, nat = 8, ntyp = 3
/
ATOMIC_SPECIES
As 74.92 As.upf
P 30.97 P.upf
Ru 101.07 Ru.upf
ATOMIC_POSITIONS crystal
As 0.000 0.000 0.000
As 0.750 0.250 0.500
P 0.154 0.625 0.029
P 0.375 0.404 0.529
P 0.596 0.125 0.971
P 0.875 0.846 0.471
Ru 0.250 0.750 0.500
Ru 0.500 0.500 0.000
CELL_PARAMETERS angstrom
-2.712 2.712 5.334
2.712 -2.712 5.334
2.712 2.712 -5.334
```

N(E_F), states/eV per cell: 4.4
Calculated volume, Å³/atom: 19.620
Magnetic moment, μB/cell: 0.0
DFT total energy, eV/atom: -6.21
Symmetry: I-42d, No. 122



ZrAsI2: optimized geometry, PBE. Values from VASP.

The structure in Quantum ESPRESSO input format:
```
&SYSTEM
  ibrav = 0, nat = 8, ntyp = 3
/
ATOMIC_SPECIES
Zr 91.22 Zr.upf
As 74.92 As.upf
I 126.90 I.upf
ATOMIC_POSITIONS crystal
Zr 0.220 0.093 0.181
Zr 0.780 0.907 0.819
As 0.230 0.865 0.024
As 0.770 0.135 0.976
I 0.199 0.155 0.649
I 0.358 0.644 0.772
I 0.642 0.356 0.228
I 0.801 0.845 0.351
CELL_PARAMETERS angstrom
3.715 0.000 0.000
1.126 8.030 0.000
0.082 2.945 10.120
```

Energy above the most stable polymorph in this dataset, kcal/mol of atoms: 0.000
Calculated volume, Å³/atom: 37.737
Magnetic moment, μB/cell: 0.0
Energy relative to the elements, uncorrected, eV/atom: -0.784
DFT total energy, eV/atom: -4.86
Symmetry: P-1, No. 2



AcSmCu2O5: optimized geometry, PBE. Values from VASP.

The structure in Quantum ESPRESSO input format:
```
&SYSTEM
  ibrav = 0, nat = 9, ntyp = 4
/
ATOMIC_SPECIES
Ac 227.00 Ac.upf
Sm 150.36 Sm.upf
Cu 63.55 Cu.upf
O 16.00 O.upf
ATOMIC_POSITIONS crystal
Ac 0.000 0.000 0.000
Sm 0.000 0.000 0.500
Cu 0.500 0.500 0.287
Cu 0.500 0.500 0.713
O 0.000 0.500 0.293
O 0.000 0.500 0.707
O 0.500 0.000 0.293
O 0.500 0.000 0.707
O 0.500 0.500 0.000
CELL_PARAMETERS angstrom
3.927 0.000 0.000
0.000 3.927 0.000
0.000 0.000 7.305
```

N(E_F), states/eV per cell: 3.8
Calculated volume, Å³/atom: 12.513
Magnetic moment, μB/cell: 0.0
Energy relative to the elements, uncorrected, eV/atom: -2.092
DFT total energy, eV/atom: -6.74
Symmetry: P4/mmm, No. 123



LaGa4CoRh2: optimized geometry, PBE. Values from VASP.

The structure in Quantum ESPRESSO input format:
```
&SYSTEM
  ibrav = 0, nat = 8, ntyp = 4
/
ATOMIC_SPECIES
La 138.91 La.upf
Ga 69.72 Ga.upf
Co 58.93 Co.upf
Rh 102.91 Rh.upf
ATOMIC_POSITIONS crystal
La 0.000 0.000 0.000
Ga 0.134 0.134 0.134
Ga 0.406 0.406 0.406
Ga 0.594 0.594 0.594
Ga 0.866 0.866 0.866
Co 0.500 0.500 0.500
Rh 0.230 0.230 0.230
Rh 0.770 0.770 0.770
CELL_PARAMETERS angstrom
2.110 1.218 8.891
-2.110 1.218 8.891
0.000 -2.436 8.891
```

N(E_F), states/eV per cell: 3.7
Calculated volume, Å³/atom: 17.137
Magnetic moment, μB/cell: 0.0
DFT total energy, eV/atom: -5.46
Symmetry: R-3m, No. 166



Dy2Si2Ir5: optimized geometry, PBE. Values from VASP.

The structure in Quantum ESPRESSO input format:
```
&SYSTEM
  ibrav = 0, nat = 9, ntyp = 3
/
ATOMIC_SPECIES
Dy 162.50 Dy.upf
Si 28.09 Si.upf
Ir 192.22 Ir.upf
ATOMIC_POSITIONS crystal
Dy 0.000 0.000 0.000
Dy 0.000 0.000 0.500
Si 0.500 0.500 0.137
Si 0.500 0.500 0.863
Ir 0.000 0.500 0.267
Ir 0.000 0.500 0.733
Ir 0.500 0.000 0.267
Ir 0.500 0.000 0.733
Ir 0.500 0.500 0.500
CELL_PARAMETERS angstrom
4.129 0.000 0.000
0.000 4.129 0.000
0.000 0.000 8.849
```

N(E_F), states/eV per cell: 4.1
Calculated volume, Å³/atom: 16.765
Magnetic moment, μB/cell: 0.0
Energy relative to the elements, uncorrected, eV/atom: -0.809
DFT total energy, eV/atom: -7.96
Symmetry: P4/mmm, No. 123